# 1
First-principles (PBE) data for CsTbYTe3 after structural relaxation, as listed in OQMD via LeMat-Bulk.

## Properties
Spin magnetization = 0.0 μB per formula unit
Crystal system = orthorhombic
Energy relative to the lowest polymorph listed for this composition = 0.006 eV per atom

Geometry as extended XYZ:
```
12
Lattice="2.387 -8.745 0.000 2.387 8.745 0.000 0.000 0.000 11.892" Properties=species:S:1:pos:R:3 pbc="T T T"
Cs 2.387 4.474 8.919
Cs 2.387 -4.474 2.973
Tb 2.387 8.157 2.973
Tb 2.387 -8.157 8.919
Y 2.387 0.000 0.000
Y 2.387 0.000 5.946
Te 2.387 6.647 0.464
Te 2.387 6.647 5.482
Te 2.387 1.147 2.973
Te 2.387 -1.147 8.919
Te 2.387 -6.647 6.410
Te 2.387 -6.647 11.428
```

***

# 2
First-principles (PBE) data for CsTbZnTe3 after structural relaxation, as listed in OQMD via LeMat-Bulk.

## Properties
Spin magnetization = 0.0 μB per formula unit
Crystal system = orthorhombic
VASP energy = -0.2797 Ry/atom

Geometry as extended XYZ:
```
12
Lattice="2.218 -8.630 0.000 2.218 8.630 0.000 0.000 0.000 11.745" Properties=species:S:1:pos:R:3 pbc="T T T"
Cs 2.218 4.367 8.809
Cs 2.218 -4.367 2.936
Tb 2.218 0.000 0.000
Tb 2.218 0.000 5.873
Zn 2.218 8.008 2.936
Zn 2.218 -8.008 8.809
Te 2.218 6.569 0.694
Te 2.218 6.569 5.178
Te 2.218 1.043 2.936
Te 2.218 -1.043 8.809
Te 2.218 -6.569 6.567
Te 2.218 -6.569 11.051
```

***

# 3
First-principles (PBE) data for CsTbZrTe3 after structural relaxation, as listed in OQMD via LeMat-Bulk.

## Properties
Spin magnetization = 0.2 μB per formula unit
Crystal system = orthorhombic
VASP energy = -0.3656 Ry/atom

Geometry as extended XYZ:
```
12
Lattice="2.296 -8.756 0.000 2.296 8.756 0.000 0.000 0.000 11.534" Properties=species:S:1:pos:R:3 pbc="T T T"
Cs 2.296 4.411 8.650
Cs 2.296 -4.411 2.883
Tb 2.296 0.000 0.000
Tb 2.296 0.000 5.767
Zr 2.296 8.287 2.883
Zr 2.296 -8.287 8.650
Te 2.296 6.672 0.578
Te 2.296 6.672 5.189
Te 2.296 1.209 2.883
Te 2.296 -1.209 8.650
Te 2.296 -6.672 6.345
Te 2.296 -6.672 10.956
```

***

# 4
First-principles (PBE) data for CsTbTl after structural relaxation, as listed in OQMD via LeMat-Bulk.

## Properties
Spin magnetization = 0.0 μB per formula unit
Crystal system = cubic
VASP energy = -0.1545 Ry/atom

Geometry as extended XYZ:
```
3
Lattice="0.000 4.072 4.072 4.072 0.000 4.072 4.072 4.072 0.000" Properties=species:S:1:pos:R:3 pbc="T T T"
Cs 0.000 0.000 0.000
Tb 4.072 4.072 4.072
Tl 2.036 2.036 2.036
```

***

# 5
First-principles (PBE) data for CsTbTm after structural relaxation, as listed in OQMD via LeMat-Bulk.

## Properties
Spin magnetization = 3.2 μB per formula unit
Crystal system = cubic
Energy relative to the lowest polymorph listed for this composition = 0.000 eV per atom

Geometry as extended XYZ:
```
3
Lattice="0.000 4.291 4.291 4.291 0.000 4.291 4.291 4.291 0.000" Properties=species:S:1:pos:R:3 pbc="T T T"
Cs 0.000 0.000 0.000
Tb 4.291 4.291 4.291
Tm 2.146 2.146 2.146
```

***

# 6
First-principles (PBE) data for CsTbTm after structural relaxation, as listed in OQMD via LeMat-Bulk.

## Properties
Spin magnetization = 0.0 μB per formula unit
Crystal system = cubic
Energy relative to the lowest polymorph listed for this composition = 0.024 eV per atom

Geometry as extended XYZ:
```
3
Lattice="0.000 3.892 3.892 3.892 0.000 3.892 3.892 3.892 0.000" Properties=species:S:1:pos:R:3 pbc="T T T"
Cs 0.000 0.000 0.000
Tb 1.946 1.946 1.946
Tm 5.839 5.839 5.839
```

***

Repeat the sixth record exactly.
First-principles (PBE) data for CsTbTm after structural relaxation, as listed in OQMD via LeMat-Bulk.

## Properties
Spin magnetization = 0.0 μB per formula unit
Crystal system = cubic
Energy relative to the lowest polymorph listed for this composition = 0.024 eV per atom

Geometry as extended XYZ:
```
3
Lattice="0.000 3.892 3.892 3.892 0.000 3.892 3.892 3.892 0.000" Properties=species:S:1:pos:R:3 pbc="T T T"
Cs 0.000 0.000 0.000
Tb 1.946 1.946 1.946
Tm 5.839 5.839 5.839
```